First-principles (GGA-PBEsol) data for crystalline NaBSe2 at its relaxed geometry, as listed in Alexandria via LeMat-Bulk.

## Properties
- ρ: 4.11 g/cm3
- Uncorrected energy: -4.531 eV per atom
- Uncorrected formation energy: -0.50 eV/atom

Cell: 6.2300 6.2300 7.9920 Å, 90.00 90.00 90.00°
Closest atoms and distances in Å follow each position.
Positions (direct):
Na (0.0000, 0.0000, 0.0000)  4 Se 2.85
Na (0.0000, 0.5000, 0.2500)  4 Se 2.85
Na (0.5000, 0.0000, 0.7500)  4 Se 2.85
Na (0.5000, 0.5000, 0.5000)  4 Se 2.85
B (0.0000, 0.0000, 0.5000)  4 Se 2.08
B (0.0000, 0.5000, 0.7500)  4 Se 2.08
B (0.5000, 0.0000, 0.2500)  4 Se 2.08
B (0.5000, 0.5000, 0.0000)  4 Se 2.08
Se (0.1522, 0.7500, 0.6250)  2 B 2.08
Se (0.2500, 0.1522, 0.3750)  2 B 2.08
Se (0.2500, 0.3478, 0.8750)  2 B 2.08
Se (0.3478, 0.7500, 0.1250)  2 B 2.08
Se (0.6522, 0.2500, 0.1250)  2 B 2.08
Se (0.7500, 0.6522, 0.8750)  2 B 2.08
Se (0.7500, 0.8478, 0.3750)  2 B 2.08
Se (0.8478, 0.2500, 0.6250)  2 B 2.08